An optimized crystal structure of K2CeFeO4. Source: Alexandria, functional PBE+U.

Output
Crystal system: monoclinic
Symmetry: P2/m, No. 10
Magnetization, μB per formula unit: 4.0
Total energy, eV/f.u.: -50.55

a = 5.7858 Å, b = 3.4998 Å, c = 6.5234 Å
α = 90.00°, β = 108.20°, γ = 90.00°
With the nearest neighbours (Å) after each atom.
Atoms (fractional coordinates):
K: 0.0000 0.0000 0.0000  6 O 2.70-2.81
K: 0.5000 0.5000 0.0000  6 O 2.76-2.81
Ce: 0.0000 0.5000 0.5000  6 O 2.23-2.30
Fe: 0.5000 0.0000 0.5000  6 O 2.28-2.33
O: 0.2231 0.0000 0.6935  2 Ce 2.30, 1 Fe 2.33
O: 0.2731 0.5000 0.3225  1 Ce 2.23, 2 Fe 2.28
O: 0.7269 0.5000 0.6775  1 Ce 2.23, 2 Fe 2.28
O: 0.7769 0.0000 0.3065  2 Ce 2.30, 1 Fe 2.33